DFT (GGA-PBE) results for Ba2InTeSe5 after structural relaxation.

a = 4.582 Å, b = 19.074 Å, c = 13.085 Å
α = 90.00°, β = 90.00°, γ = 90.00°
Space group Cmc2_1 (No. 36)
One atom of each set of equivalent atoms:
Ba: 0.000 0.106 0.000 [4 per cell]
Ba: 0.000 0.134 0.619 [4 per cell]
In: 0.000 0.433 0.752 [4 per cell]
Te: 0.000 0.220 0.343 [4 per cell]
Se: 0.000 0.053 0.363 [4 per cell]
Se: 0.000 0.280 0.955 [4 per cell]
Se: 0.000 0.312 0.655 [4 per cell]
Se: 0.000 0.356 0.310 [4 per cell]
Se: 0.000 0.489 0.089 [4 per cell]

Output
Its calculated volume is 1143.55 Å³ per cell. The total magnetization comes out at 0.000 μB/f.u. For the formation energy without anion corrections, the calculation gives -1.06 eV/atom. Its final energy is -4.08 eV/atom.